No. 1
Computed, not measured: a relaxed structure of ZrTiMnCo at the PBE-GGA level of DFT.

## Properties
- SG: F-43m, No. 216
- Formation energy from the elements: -22.5 kJ per mole of atoms
- Total magnetic moment: 0.061 μB per atom

Unit cell a=4.3569 b=4.3569 c=4.3569 alpha=60.00 beta=60.00 gamma=60.00
Last column: nearest neighbours and their distance in Å.
Fractional positions:
1 Mn 0.5000 0.5000 0.5000  4 Zr 2.67, 4 Ti 2.67
2 Co 0.0000 0.0000 0.0000  4 Ti 2.67, 4 Zr 2.67
3 Zr 0.7500 0.7500 0.7500  4 Mn 2.67, 4 Co 2.67
4 Ti 0.2500 0.2500 0.2500  4 Mn 2.67, 4 Co 2.67

No. 2
Computed, not measured: a relaxed structure of ZrTi2MnCo at the PBE-GGA level of DFT.

## Properties
- SG: P4/mmm, No. 123
- Formation energy from the elements: 161.6 kJ per mole of atoms
- Total magnetic moment: 0.087 μB per atom

Unit cell a=4.7273 b=4.3601 c=4.7273 alpha=90.00 beta=90.00 gamma=90.00
Last column: nearest neighbours and their distance in Å.
Fractional positions:
1 Mn 0.5000 0.5000 0.5000  8 Ti 3.22, 4 Co 3.34
2 Co 0.0000 0.5000 0.0000  2 Zr 2.18
3 Zr 0.0000 0.0000 0.0000  2 Co 2.18, 4 Ti 2.36
4 Ti 0.0000 0.0000 0.5000  2 Zr 2.36
5 Ti 0.5000 0.0000 0.0000  2 Zr 2.36

No. 3
Computed, not measured: a relaxed structure of MnTl2Co at the PBE-GGA level of DFT.

## Properties
- SG: P4mm, No. 99
- E above lowest polymorph: 0 meV/atom
- Formation energy from the elements: 36.5 kJ per mole of atoms
- Total magnetic moment: 1.245 μB per atom

Unit cell a=3.1929 b=3.1928 c=7.7728 alpha=90.00 beta=90.00 gamma=90.00
Last column: nearest neighbours and their distance in Å.
Fractional positions:
1 Co 0.0000 0.0000 0.5471  4 Mn 2.52
2 Mn 0.5000 0.5000 0.6918  4 Co 2.52
3 Tl 0.0000 0.0000 0.9488  4 Mn 3.01, 1 Co 3.12, 4 Tl 3.19
4 Tl 0.5000 0.5000 0.3123  4 Co 2.90, 1 Mn 2.95, 4 Tl 3.19

No. 4
Computed, not measured: a relaxed structure of MnTl2Co at the PBE-GGA level of DFT.

## Properties
- SG: Cmmm, No. 65
- E above lowest polymorph: 300 meV/atom
- Formation energy from the elements: 65.5 kJ per mole of atoms
- Total magnetic moment: 1.263 μB per atom

Unit cell a=3.1478 b=3.1478 c=8.7520 alpha=90.00 beta=90.00 gamma=115.01
Last column: nearest neighbours and their distance in Å.
Fractional positions:
1 Co 0.5000 0.5000 0.2500  4 Tl 2.67
2 Mn 0.5000 0.5000 0.7500  4 Tl 2.86, 4 Mn 3.15
3 Tl 0.0000 0.0000 0.0133  2 Co 2.67, 2 Mn 2.86
4 Tl 0.0000 0.0000 0.4867  2 Co 2.67, 2 Mn 2.86

No. 5
Computed, not measured: a relaxed structure of MnTl2Co at the PBE-GGA level of DFT.

## Properties
- SG: F-43m, No. 216
- E above lowest polymorph: 355 meV/atom
- Formation energy from the elements: 70.8 kJ per mole of atoms
- Total magnetic moment: 1.207 μB per atom

Unit cell a=4.7764 b=4.7764 c=4.7764 alpha=60.00 beta=60.00 gamma=60.00
Last column: nearest neighbours and their distance in Å.
Fractional positions:
1 Co 0.5000 0.5000 0.5000  4 Tl 2.92, 4 Mn 2.92
2 Mn 0.7500 0.7500 0.7500  4 Co 2.92, 4 Tl 2.92
3 Tl 0.0000 0.0000 0.0000  4 Mn 2.92, 4 Tl 2.92
4 Tl 0.2500 0.2500 0.2500  4 Tl 2.92, 4 Co 2.92

No. 6
Computed, not measured: a relaxed structure of MnTlCo2 at the PBE-GGA level of DFT.

## Properties
- SG: I-4m2, No. 119
- E above lowest polymorph: 61 meV/atom
- Formation energy from the elements: 37.8 kJ per mole of atoms
- Total magnetic moment: 1.540 μB per atom

Unit cell a=4.7755 b=4.7755 c=4.7755 alpha=132.96 beta=132.96 gamma=68.72
Last column: nearest neighbours and their distance in Å.
Fractional positions:
1 Co 0.0000 0.0000 0.0000  4 Mn 2.70, 4 Co 2.74, 4 Tl 2.74
2 Co 0.7500 0.2500 0.5000  4 Tl 2.70, 4 Co 2.74, 4 Mn 2.74
3 Mn 0.5000 0.5000 0.0000  8 Co 2.70-2.74, 4 Tl 2.74
4 Tl 0.2500 0.7500 0.5000  8 Co 2.70-2.74, 4 Mn 2.74

No. 7
Computed, not measured: a relaxed structure of MnTl2Co at the PBE-GGA level of DFT.

## Properties
- SG: Fm-3m, No. 225
- E above lowest polymorph: 184 meV/atom
- Formation energy from the elements: 54.3 kJ per mole of atoms
- Total magnetic moment: 1.125 μB per atom

Unit cell a=4.6699 b=4.6699 c=4.6699 alpha=60.00 beta=60.00 gamma=60.00
Last column: nearest neighbours and their distance in Å.
Fractional positions:
1 Tl 0.2500 0.2500 0.2500  4 Co 2.86, 4 Mn 2.86
2 Tl 0.7500 0.7500 0.7500  4 Mn 2.86, 4 Co 2.86
3 Mn 0.0000 0.0000 0.0000  8 Tl 2.86
4 Co 0.5000 0.5000 0.5000  8 Tl 2.86

No. 8
Computed, not measured: a relaxed structure of MnTlCo2 at the PBE-GGA level of DFT.

## Properties
- SG: R3m, No. 160
- E above lowest polymorph: 249 meV/atom
- Formation energy from the elements: 55.9 kJ per mole of atoms
- Total magnetic moment: 1.751 μB per atom

Unit cell a=8.4273 b=8.4273 c=8.4273 alpha=20.23 beta=20.23 gamma=20.23
Last column: nearest neighbours and their distance in Å.
Fractional positions:
1 Co 0.9885 0.9885 0.9885  3 Co 2.41
2 Co 0.2532 0.2532 0.2532  3 Co 2.41, 3 Mn 2.52
3 Mn 0.5118 0.5118 0.5118  3 Co 2.52
4 Tl 0.7466 0.7466 0.7466  3 Co 2.84, 6 Tl 2.96, 3 Mn 2.98

Look up the formation energy from the elements of the seventh one.
54.3 kJ per mole of atoms